*a*
{"formula": "NaPb4", "functional": "GGA-PBE", "state": "relaxed", "magmom_total_mub_per_cell": 0.00, "space_group": "No. 69", "cell": [[4.799, 0.001, 0.000], [-0.048, 4.799, 0.000], [-2.375, -2.400, 7.662]], "species": ["Pb", "Na", "Pb", "Pb", "Pb"], "frac_coords": [[0.250, 0.250, 0.000], [0.500, 0.000, 0.500], [0.750, 0.750, 0.000], [0.103, 0.603, 0.706], [0.897, 0.397, 0.294]]}

***

*b*
{"formula": "NaPb4", "functional": "GGA-PBE", "state": "relaxed", "magmom_total_mub_per_cell": 0.00, "space_group": "No. 221", "cell": [[5.547, 0.000, 0.000], [0.000, 5.547, 0.000], [0.000, 0.000, 5.547]], "species": ["Na", "Pb", "Pb", "Pb", "Pb"], "frac_coords": [[0.500, 0.500, 0.500], [0.000, 0.000, 0.000], [0.500, 0.000, 0.500], [0.500, 0.500, 0.000], [0.000, 0.500, 0.500]]}

***

Energies, relative to the best one, in kJ/mol of atoms: *a* 0.0; *b* 38.7.

***

*a*
{"formula": "Na3Pb7", "functional": "GGA-PBE", "state": "relaxed", "magmom_total_mub_per_cell": 0.00, "space_group": "No. 186", "cell": [[6.052, 0.000, 0.000], [0.000, 10.886, 0.000], [0.000, -5.443, 9.427]], "species": ["Pb", "Pb", "Pb", "Pb", "Pb", "Pb", "Na", "Na", "Pb", "Pb", "Pb", "Na", "Pb", "Na", "Pb", "Na", "Pb", "Pb", "Pb", "Na"], "frac_coords": [[0.363, 0.787, 0.894], [0.363, 0.106, 0.894], [0.733, 0.524, 0.047], [0.863, 0.894, 0.787], [0.733, 0.953, 0.476], [0.733, 0.524, 0.476], [0.376, 0.792, 0.208], [0.876, 0.585, 0.792], [0.233, 0.476, 0.524], [0.991, 0.667, 0.333], [0.233, 0.476, 0.953], [0.376, 0.415, 0.208], [0.363, 0.106, 0.213], [0.876, 0.208, 0.792], [0.491, 0.333, 0.667], [0.376, 0.792, 0.585], [0.233, 0.047, 0.524], [0.863, 0.894, 0.106], [0.863, 0.213, 0.106], [0.876, 0.208, 0.415]]}

***

*b*
{"formula": "Na3Pb7", "functional": "GGA-PBE", "state": "relaxed", "magmom_total_mub_per_cell": 0.00, "space_group": "No. 12", "cell": [[4.721, 0.000, -1.329], [-0.412, 6.892, -1.465], [0.008, 0.336, 9.080]], "species": ["Pb", "Pb", "Na", "Na", "Na", "Pb", "Pb", "Pb", "Pb", "Pb"], "frac_coords": [[0.000, 0.500, 0.000], [0.402, 0.192, 0.804], [0.197, 0.604, 0.394], [0.000, 0.000, 0.000], [0.803, 0.396, 0.606], [0.197, 0.099, 0.394], [0.400, 0.705, 0.799], [0.803, 0.901, 0.606], [0.600, 0.295, 0.201], [0.598, 0.808, 0.196]]}

***

Energies, relative to the best one, in kJ/mol of atoms: *a* 9.6; *b* 0.0.